(1)
Computed, not measured: a relaxed structure of NaSr3 at the PBE-GGA level of DFT.

Computed properties:
**Formation enthalpy at 0 K**: 43 meV/atom

CIF file:
```
data_NaSr3
_chemical_formula_sum 'Na1 Sr3'
_space_group_name_H-M_alt 'P m -3 m'
_space_group_IT_number 221
_space_group_name_Hall '-P 4 2 3'
_cell_length_a 5.881
_cell_length_b 5.881
_cell_length_c 5.881
_cell_angle_alpha 90.00
_cell_angle_beta 90.00
_cell_angle_gamma 90.00
loop_
_atom_site_label
_atom_site_fract_x
_atom_site_fract_y
_atom_site_fract_z
Na1 0.000 0.000 0.000
Sr1 0.000 0.500 0.500
```

=====

(2)
Computed, not measured: a relaxed structure of NaSr5 at the PBE-GGA level of DFT.

Computed properties:
**Relative energy among the computed polymorphs**: 0 meV per atom
**Formation enthalpy at 0 K**: 6 meV/atom

CIF file:
```
data_NaSr5
_chemical_formula_sum 'Na1 Sr5'
_space_group_name_H-M_alt 'P 4/m m m'
_space_group_IT_number 123
_space_group_name_Hall '-P 4 2'
_cell_length_a 4.515
_cell_length_b 4.515
_cell_length_c 15.252
_cell_angle_alpha 90.00
_cell_angle_beta 90.00
_cell_angle_gamma 90.00
loop_
_atom_site_label
_atom_site_fract_x
_atom_site_fract_y
_atom_site_fract_z
Na1 0.000 0.000 0.000
Sr1 0.000 0.000 0.325
Sr2 0.500 0.500 0.147
Sr3 0.500 0.500 0.500
```

=====

(3)
Computed, not measured: a relaxed structure of Na2Sr3 at the PBE-GGA level of DFT.

Computed properties:
**Relative energy among the computed polymorphs**: 0 meV per atom
**Formation enthalpy at 0 K**: 30 meV/atom

CIF file:
```
data_Na2Sr3
_chemical_formula_sum 'Na12 Sr18'
_space_group_name_H-M_alt 'R -3 c'
_space_group_IT_number 167
_space_group_name_Hall '-R 3 2"c'
_cell_length_a 11.3180
_cell_length_b 11.3180
_cell_length_c 12.9252
_cell_angle_alpha 90.00
_cell_angle_beta 90.00
_cell_angle_gamma 120.00
loop_
_atom_site_label
_atom_site_fract_x
_atom_site_fract_y
_atom_site_fract_z
Na1 0.0000 0.0000 0.1243
Sr1 0.0000 0.3289 0.2500
```

=====

(4)
Computed, not measured: a relaxed structure of NaSr at the PBE-GGA level of DFT.

Computed properties:
**Relative energy among the computed polymorphs**: 512 meV per atom
**Formation enthalpy at 0 K**: 534 meV/atom

CIF file:
```
data_NaSr
_chemical_formula_sum 'Na8 Sr8'
_space_group_name_H-M_alt 'I -4 3 m'
_space_group_IT_number 217
_space_group_name_Hall 'I -4 2 3'
_cell_length_a 11.962
_cell_length_b 11.962
_cell_length_c 11.962
_cell_angle_alpha 90.00
_cell_angle_beta 90.00
_cell_angle_gamma 90.00
loop_
_atom_site_label
_atom_site_fract_x
_atom_site_fract_y
_atom_site_fract_z
Na1 0.192 0.192 0.192
Sr1 0.123 0.123 0.877
```

=====

(5)
Computed, not measured: a relaxed structure of NaSr5 at the PBE-GGA level of DFT.

Computed properties:
**Relative energy among the computed polymorphs**: 55 meV per atom
**Formation enthalpy at 0 K**: 60 meV/atom

CIF file:
```
data_NaSr5
_chemical_formula_sum 'Na2 Sr10'
_space_group_name_H-M_alt 'C 1 m 1'
_space_group_IT_number 8
_cell_length_a 13.706
_cell_length_b 4.116
_cell_length_c 11.352
_cell_angle_alpha 90.00
_cell_angle_beta 91.67
_cell_angle_gamma 90.00
loop_
_space_group_symop_operation_xyz
'x,y,z'
'x,-y,z'
'x+1/2,y+1/2,z'
'x+1/2,-y+1/2,z'
loop_
_atom_site_label
_atom_site_fract_x
_atom_site_fract_y
_atom_site_fract_z
Na1 0.000 0.000 0.000
Sr1 0.032 0.500 0.684
Sr2 0.221 0.500 0.177
Sr3 0.260 0.000 0.505
Sr4 0.269 0.000 0.862
Sr5 0.491 0.500 0.348
```

=====

(6)
Computed, not measured: a relaxed structure of NaSr3 at the PBE-GGA level of DFT.

Computed properties:
**Formation enthalpy at 0 K**: 98 meV/atom

CIF file:
```
data_NaSr3
_chemical_formula_sum 'Na4 Sr12'
_space_group_name_H-M_alt 'C 1 2/m 1'
_space_group_IT_number 12
_cell_length_a 6.800
_cell_length_b 13.590
_cell_length_c 9.832
_cell_angle_alpha 90.00
_cell_angle_beta 110.16
_cell_angle_gamma 90.00
loop_
_space_group_symop_operation_xyz
'x,y,z'
'-x,-y,-z'
'-x,y,-z'
'x,-y,z'
'x+1/2,y+1/2,z'
'-x+1/2,-y+1/2,-z'
'-x+1/2,y+1/2,-z'
'x+1/2,-y+1/2,z'
loop_
_atom_site_label
_atom_site_fract_x
_atom_site_fract_y
_atom_site_fract_z
Na1 0.000 0.125 0.000
Sr1 0.130 0.338 0.260
Sr2 0.184 0.000 0.368
```

=====

(7)
Computed, not measured: a relaxed structure of Na4Sr5 at the PBE-GGA level of DFT.

Computed properties:
**Relative energy among the computed polymorphs**: 0 meV per atom
**Formation enthalpy at 0 K**: 30 meV/atom

CIF file:
```
data_Na4Sr5
_chemical_formula_sum 'Na8 Sr10'
_space_group_name_H-M_alt 'C 1 2/m 1'
_space_group_IT_number 12
_cell_length_a 14.311
_cell_length_b 13.791
_cell_length_c 4.537
_cell_angle_alpha 90.00
_cell_angle_beta 108.27
_cell_angle_gamma 90.00
loop_
_space_group_symop_operation_xyz
'x,y,z'
'-x,-y,-z'
'-x,y,-z'
'x,-y,z'
'x+1/2,y+1/2,z'
'-x+1/2,-y+1/2,-z'
'-x+1/2,y+1/2,-z'
'x+1/2,-y+1/2,z'
loop_
_atom_site_label
_atom_site_fract_x
_atom_site_fract_y
_atom_site_fract_z
Na1 0.178 0.177 0.178
Sr1 0.000 0.000 0.500
Sr2 0.000 0.318 0.500
Sr3 0.177 0.500 0.177
```

=====

(8)
Computed, not measured: a relaxed structure of NaSr at the PBE-GGA level of DFT.

Computed properties:
**Relative energy among the computed polymorphs**: 124 meV per atom
**Formation enthalpy at 0 K**: 147 meV/atom

CIF file:
```
data_NaSr
_chemical_formula_sum 'Na2 Sr2'
_space_group_name_H-M_alt 'P 63 m c'
_space_group_IT_number 186
_space_group_name_Hall 'P 6c -2c'
_cell_length_a 4.0791
_cell_length_b 4.0791
_cell_length_c 14.0369
_cell_angle_alpha 90.00
_cell_angle_beta 90.00
_cell_angle_gamma 120.00
loop_
_atom_site_label
_atom_site_fract_x
_atom_site_fract_y
_atom_site_fract_z
Na1 0.3333 0.6667 0.0000
Sr1 0.3333 0.6667 0.2678
```

=====

(9)
Computed, not measured: a relaxed structure of Na11Sr at the PBE-GGA level of DFT.

Computed properties:
**Formation enthalpy at 0 K**: 33 meV/atom

CIF file:
```
data_Na11Sr
_chemical_formula_sum 'Na11 Sr1'
_space_group_name_H-M_alt 'P 6/m m m'
_space_group_IT_number 191
_space_group_name_Hall '-P 6 2'
_cell_length_a 11.8784
_cell_length_b 11.8784
_cell_length_c 3.8490
_cell_angle_alpha 90.00
_cell_angle_beta 90.00
_cell_angle_gamma 120.00
loop_
_atom_site_label
_atom_site_fract_x
_atom_site_fract_y
_atom_site_fract_z
Na1 0.0000 0.5000 0.0000
Na2 0.1762 0.3523 0.5000
Na3 0.3333 0.6667 0.0000
Sr1 0.0000 0.0000 0.0000
```

=====

(10)
Computed, not measured: a relaxed structure of NaSr at the PBE-GGA level of DFT.

Computed properties:
**Relative energy among the computed polymorphs**: 6 meV per atom
**Formation enthalpy at 0 K**: 29 meV/atom

CIF file:
```
data_NaSr
_chemical_formula_sum 'Na2 Sr2'
_space_group_name_H-M_alt 'P 1 21/m 1'
_space_group_IT_number 11
_cell_length_a 4.185
_cell_length_b 5.988
_cell_length_c 7.717
_cell_angle_alpha 90.00
_cell_angle_beta 105.51
_cell_angle_gamma 90.00
loop_
_space_group_symop_operation_xyz
'x,y,z'
'-x,-y,-z'
'-x,y+1/2,-z'
'x,-y+1/2,z'
loop_
_atom_site_label
_atom_site_fract_x
_atom_site_fract_y
_atom_site_fract_z
Na1 0.061 0.250 0.131
Sr1 0.331 0.250 0.659
```

=====

(11)
Computed, not measured: a relaxed structure of NaSr at the PBE-GGA level of DFT.

Computed properties:
**Relative energy among the computed polymorphs**: 583 meV per atom
**Formation enthalpy at 0 K**: 605 meV/atom

CIF file:
```
data_NaSr
_chemical_formula_sum 'Na4 Sr4'
_space_group_name_H-M_alt 'F -4 3 m'
_space_group_IT_number 216
_space_group_name_Hall 'F -4 2 3'
_cell_length_a 8.252
_cell_length_b 8.252
_cell_length_c 8.252
_cell_angle_alpha 90.00
_cell_angle_beta 90.00
_cell_angle_gamma 90.00
loop_
_atom_site_label
_atom_site_fract_x
_atom_site_fract_y
_atom_site_fract_z
Na1 0.000 0.000 0.000
Sr1 0.250 0.250 0.750
```

=====

(12)
Computed, not measured: a relaxed structure of Na6Sr at the PBE-GGA level of DFT.

Computed properties:
**Relative energy among the computed polymorphs**: 0 meV per atom
**Formation enthalpy at 0 K**: 37 meV/atom

CIF file:
```
data_Na6Sr
_chemical_formula_sum 'Na24 Sr4'
_space_group_name_H-M_alt 'P n m a'
_space_group_IT_number 62
_cell_length_a 11.265
_cell_length_b 7.047
_cell_length_c 14.010
_cell_angle_alpha 90.00
_cell_angle_beta 90.00
_cell_angle_gamma 90.00
loop_
_space_group_symop_operation_xyz
'x,y,z'
'-x,-y,-z'
'-x+1/2,-y,z+1/2'
'x+1/2,y,-z+1/2'
'x+1/2,-y+1/2,-z+1/2'
'-x+1/2,y+1/2,z+1/2'
'-x,y+1/2,-z'
'x,-y+1/2,z'
loop_
_atom_site_label
_atom_site_fract_x
_atom_site_fract_y
_atom_site_fract_z
Na1 0.057 0.250 0.082
Na2 0.066 0.510 0.308
Na3 0.099 0.750 0.521
Na4 0.141 0.250 0.852
Na5 0.190 0.750 0.760
Sr1 0.249 0.750 0.067
```

=====

(13)
Computed, not measured: a relaxed structure of Na4Sr5 at the PBE-GGA level of DFT.

Computed properties:
**Relative energy among the computed polymorphs**: 15 meV per atom
**Formation enthalpy at 0 K**: 45 meV/atom

CIF file:
```
data_Na4Sr5
_chemical_formula_sum 'Na8 Sr10'
_space_group_name_H-M_alt 'I 4/m m m'
_space_group_IT_number 139
_space_group_name_Hall '-I 4 2'
_cell_length_a 13.365
_cell_length_b 13.365
_cell_length_c 4.868
_cell_angle_alpha 90.00
_cell_angle_beta 90.00
_cell_angle_gamma 90.00
loop_
_atom_site_label
_atom_site_fract_x
_atom_site_fract_y
_atom_site_fract_z
Na1 0.000 0.340 0.000
Sr1 0.000 0.000 0.000
Sr2 0.166 0.166 0.500
```

=====

(14)
Computed, not measured: a relaxed structure of Na6Sr at the PBE-GGA level of DFT.

Computed properties:
**Relative energy among the computed polymorphs**: 238 meV per atom
**Formation enthalpy at 0 K**: 274 meV/atom

CIF file:
```
data_Na6Sr
_chemical_formula_sum 'Na12 Sr2'
_space_group_name_H-M_alt 'I m -3 m'
_space_group_IT_number 229
_space_group_name_Hall '-I 4 2 3'
_cell_length_a 8.652
_cell_length_b 8.652
_cell_length_c 8.652
_cell_angle_alpha 90.00
_cell_angle_beta 90.00
_cell_angle_gamma 90.00
loop_
_atom_site_label
_atom_site_fract_x
_atom_site_fract_y
_atom_site_fract_z
Na1 0.000 0.250 0.500
Sr1 0.000 0.000 0.000
```

=====

(15)
Computed, not measured: a relaxed structure of Na3Sr at the PBE-GGA level of DFT.

Computed properties:
**Formation enthalpy at 0 K**: 47 meV/atom

CIF file:
```
data_Na3Sr
_chemical_formula_sum 'Na6 Sr2'
_space_group_name_H-M_alt 'I m m m'
_space_group_IT_number 71
_space_group_name_Hall '-I 2 2'
_cell_length_a 4.457
_cell_length_b 6.224
_cell_length_c 12.186
_cell_angle_alpha 90.00
_cell_angle_beta 90.00
_cell_angle_gamma 90.00
loop_
_atom_site_label
_atom_site_fract_x
_atom_site_fract_y
_atom_site_fract_z
Na1 0.000 0.000 0.000
Na2 0.000 0.500 0.269
Sr1 0.000 0.000 0.500
```

=====

(16)
Computed, not measured: a relaxed structure of NaSrTa at the PBE-GGA level of DFT.

Computed properties:
**Relative energy among the computed polymorphs**: 386 meV per atom
**Formation enthalpy at 0 K**: 705 meV/atom

CIF file:
```
data_NaSrTa
_chemical_formula_sum 'Na2 Sr2 Ta2'
_space_group_name_H-M_alt 'P 1 m 1'
_space_group_IT_number 6
_cell_length_a 6.071
_cell_length_b 3.455
_cell_length_c 9.694
_cell_angle_alpha 90.00
_cell_angle_beta 108.10
_cell_angle_gamma 90.00
loop_
_space_group_symop_operation_xyz
'x,y,z'
'x,-y,z'
loop_
_atom_site_label
_atom_site_fract_x
_atom_site_fract_y
_atom_site_fract_z
Na1 0.000 0.000 0.000
Na2 0.390 0.000 0.780
Sr1 0.174 0.500 0.344
Sr2 0.807 0.500 0.613
Ta1 0.549 0.500 0.095
Ta2 0.653 0.000 0.299
```

=====

(17)
Computed, not measured: a relaxed structure of NaSrTa at the PBE-GGA level of DFT.

Computed properties:
**Relative energy among the computed polymorphs**: 796 meV per atom
**Formation enthalpy at 0 K**: 1115 meV/atom

CIF file:
```
data_NaSrTa
_chemical_formula_sum 'Na2 Sr2 Ta2'
_space_group_name_H-M_alt 'P -6 m 2'
_space_group_IT_number 187
_space_group_name_Hall 'P -6 2'
_cell_length_a 5.7526
_cell_length_b 5.7526
_cell_length_c 7.0739
_cell_angle_alpha 90.00
_cell_angle_beta 90.00
_cell_angle_gamma 120.00
loop_
_atom_site_label
_atom_site_fract_x
_atom_site_fract_y
_atom_site_fract_z
Na1 0.0000 0.0000 0.0000
Na2 0.0000 0.0000 0.5000
Sr1 0.6667 0.3333 0.2371
Ta1 0.3333 0.6667 0.1632
```

=====

(18)
Computed, not measured: a relaxed structure of NaSrTa at the PBE-GGA level of DFT.

Computed properties:
**Relative energy among the computed polymorphs**: 1098 meV per atom
**Formation enthalpy at 0 K**: 1417 meV/atom

CIF file:
```
data_NaSrTa
_chemical_formula_sum 'Na2 Sr2 Ta2'
_space_group_name_H-M_alt 'P 4/n m m'
_space_group_IT_number 129
_cell_length_a 3.960
_cell_length_b 3.960
_cell_length_c 11.861
_cell_angle_alpha 90.00
_cell_angle_beta 90.00
_cell_angle_gamma 90.00
loop_
_space_group_symop_operation_xyz
'x,y,z'
'-x,-y,-z'
'-y+1/2,x,z'
'y+1/2,-x,-z'
'-x+1/2,-y+1/2,z'
'x+1/2,y+1/2,-z'
'y,-x+1/2,z'
'-y,x+1/2,-z'
'x+1/2,-y,-z'
'-x+1/2,y,z'
'-y,-x,-z'
'y,x,z'
'-x,y+1/2,-z'
'x,-y+1/2,z'
'y+1/2,x+1/2,-z'
'-y+1/2,-x+1/2,z'
loop_
_atom_site_label
_atom_site_fract_x
_atom_site_fract_y
_atom_site_fract_z
Na1 0.250 0.250 0.224
Sr1 0.250 0.750 0.500
Ta1 0.250 0.250 0.963
```

=====

(19)
Computed, not measured: a relaxed structure of Na2SrTa at the PBE-GGA level of DFT.

Computed properties:
**Relative energy among the computed polymorphs**: 156 meV per atom
**Formation enthalpy at 0 K**: 1278 meV/atom

CIF file:
```
data_Na2SrTa
_chemical_formula_sum 'Na8 Sr4 Ta4'
_space_group_name_H-M_alt 'I -4 2 d'
_space_group_IT_number 122
_space_group_name_Hall 'I -4 2bw'
_cell_length_a 9.146
_cell_length_b 9.146
_cell_length_c 6.639
_cell_angle_alpha 90.00
_cell_angle_beta 90.00
_cell_angle_gamma 90.00
loop_
_atom_site_label
_atom_site_fract_x
_atom_site_fract_y
_atom_site_fract_z
Na1 0.223 0.250 0.125
Sr1 0.000 0.000 0.500
Ta1 0.000 0.000 0.000
```

=====

(20)
Computed, not measured: a relaxed structure of Na2SrTa at the PBE-GGA level of DFT.

Computed properties:
**Relative energy among the computed polymorphs**: 0 meV per atom
**Formation enthalpy at 0 K**: 1123 meV/atom

CIF file:
```
data_Na2SrTa
_chemical_formula_sum 'Na8 Sr4 Ta4'
_space_group_name_H-M_alt 'F m -3 m'
_space_group_IT_number 225
_space_group_name_Hall '-F 4 2 3'
_cell_length_a 7.923
_cell_length_b 7.923
_cell_length_c 7.923
_cell_angle_alpha 90.00
_cell_angle_beta 90.00
_cell_angle_gamma 90.00
loop_
_atom_site_label
_atom_site_fract_x
_atom_site_fract_y
_atom_site_fract_z
Na1 0.250 0.250 0.250
Sr1 0.000 0.000 0.000
Ta1 0.000 0.000 0.500
```